{"formula": "Ba2TlMoO6", "functional": "PBE with a Hubbard U", "state": "optimized geometry", "energy_ev_per_atom": -6.16, "spacegroup": "R-3m", "total_magnetization_mub_per_fu": 0.23, "n_ef_per_ev_cell": 3.4, "crystal_system": "trigonal", "cell": [[3.101, 1.791, 9.990], [-3.101, 1.791, 9.990], [0.000, -3.581, 9.990]], "species": ["Ba", "Ba", "Ba", "Ba", "Tl", "Tl", "Mo", "Mo", "O", "O", "O", "O", "O", "O", "O", "O", "O", "O", "O", "O"], "fractional_positions": [[0.131, 0.131, 0.131], [0.272, 0.272, 0.272], [0.728, 0.728, 0.728], [0.869, 0.869, 0.869], [0.401, 0.401, 0.401], [0.599, 0.599, 0.599], [0.000, 0.000, 0.000], [0.500, 0.500, 0.500], [0.152, 0.616, 0.616], [0.183, 0.183, 0.753], [0.183, 0.753, 0.183], [0.247, 0.817, 0.817], [0.384, 0.384, 0.848], [0.384, 0.848, 0.384], [0.616, 0.152, 0.616], [0.616, 0.616, 0.152], [0.753, 0.183, 0.183], [0.817, 0.247, 0.817], [0.817, 0.817, 0.247], [0.848, 0.384, 0.384]]}